DFT (PBE-GGA) results for a relaxed ZrTlP3 crystal.

abc: 4.949 4.949 4.949
angles: 90.00 90.00 90.00
Space group Pm-3m (No. 221)
Asymmetric unit:
Zr1 0.000 0.000 0.000 x1
Tl1 0.500 0.500 0.500 x1
P1 0.000 0.500 0.500 x3

Values from the calculation:
Calculated formation energy = 6.151 eV per formula unit
Energy above the lowest structure with this stoichiometry = 1041 meV per atom

---

DFT (PBE-GGA) results for a relaxed Y10Cd3Pd crystal.

abc: 9.7454 9.7454 9.8066
angles: 90.00 90.00 120.00
Space group P6_3/mmc (No. 194)
Asymmetric unit:
Y1 0.0000 0.0000 0.0000 x2
Y2 0.0872 0.5436 0.2500 x6
Y3 0.2078 0.4156 0.5581 x12
Cd1 0.1154 0.2309 0.2500 x6
Pd1 0.3333 0.6667 0.7500 x2

Values from the calculation:
Calculated formation energy = -4.309 eV per formula unit

---

DFT (PBE-GGA) results for a relaxed HfPa2PtN5 crystal.

abc: 3.389 12.916 10.598
angles: 90.00 90.00 90.00
Space group Cmc2_1 (No. 36)
Asymmetric unit:
Hf1 0.000 0.204 0.000 x4
Pa1 0.000 0.098 0.664 x4
Pa2 0.000 0.146 0.290 x4
Pt1 0.000 0.473 0.437 x4
N1 0.000 0.058 0.082 x4
N2 0.000 0.272 0.650 x4
N3 0.000 0.316 0.363 x4
N4 0.000 0.369 0.982 x4
N5 0.000 0.485 0.752 x4

Values from the calculation:
DFT total energy = -9.628 eV per atom

---

no.,D(E_F) (states/eV per atom),size of the total moment (μB/cell)
1,0.908,0.00
2,0.914,0.00
3,0.277,0.00